1.
A relaxed structure of Sm2Y7Tm, computed with GGA-PBE.

- V: 663.4 Å³/cell
- Fermi-level density of states: 15.50 states/eV/f.u.
- Distance to the lowest polymorph of the same formula: 0.140 eV per atom
- VASP energy: -115.1 eV per cell
- E_form: 0.162 eV/atom

Lattice parameters (Å, degrees): 6.514 28.928 3.521 90.00 90.00 90.00
Space group Cmmm (No. 65)
Unique sites:
Sm 0.000 0.208 0.000 [4 per cell]
Y 0.000 0.000 0.000 [2 per cell]
Y 0.000 0.314 0.500 [4 per cell]
Y 0.245 0.402 0.000 [8 per cell]
Tm 0.000 0.500 0.500 [2 per cell]

---

2.
A relaxed structure of Sm3Y12Tm, computed with GGA-PBE.

- V: 517.7 Å³/cell
- Fermi-level density of states: 22.79 states/eV/f.u.
- VASP energy: -95.8 eV per cell
- E_form: 0.023 eV/atom

Lattice parameters (Å, degrees): 5.057 5.057 20.241 90.00 90.00 90.00
Space group P4/mmm (No. 123)
Unique sites:
Sm 0.000 0.000 0.000 [1 per cell]
Sm 0.000 0.000 0.251 [2 per cell]
Y 0.000 0.500 0.126 [4 per cell]
Y 0.000 0.500 0.377 [4 per cell]
Y 0.500 0.500 0.000 [1 per cell]
Y 0.500 0.500 0.251 [2 per cell]
Y 0.500 0.500 0.500 [1 per cell]
Tm 0.000 0.000 0.500 [1 per cell]

---

3.
A relaxed structure of Sm5YTm, computed with GGA-PBE.

- V: 586.6 Å³/cell
- Fermi-level density of states: 9.89 states/eV/f.u.
- Distance to the lowest polymorph of the same formula: 0.716 eV per atom
- VASP energy: -56.4 eV per cell
- E_form: 0.903 eV/atom

Lattice parameters (Å, degrees): 8.009 11.783 6.216 90.00 90.00 90.00
Space group Imm2 (No. 44)
Unique sites:
Sm 0.000 0.000 0.000 [2 per cell]
Sm 0.000 0.247 0.731 [4 per cell]
Sm 0.179 0.500 0.235 [4 per cell]
Y 0.000 0.500 0.737 [2 per cell]
Tm 0.000 0.000 0.473 [2 per cell]

---

4.
A relaxed structure of Sm2Y2Tm3, computed with GGA-PBE.

- V: 910.9 Å³/cell
- Fermi-level density of states: 9.67 states/eV/f.u.
- Distance to the lowest polymorph of the same formula: 0.024 eV per atom
- VASP energy: -136.6 eV per cell
- E_form: 0.233 eV/atom

Lattice parameters (Å, degrees): 9.694 9.694 9.694 90.00 90.00 90.00
Space group I2_13 (No. 199)
Unique sites:
Sm 0.156 0.344 0.656 [8 per cell]
Y 0.044 0.044 0.044 [8 per cell]
Tm 0.000 0.250 0.309 [12 per cell]

---

5.
A relaxed structure of SmYTm, computed with GGA-PBE.

- V: 192.0 Å³/cell
- Fermi-level density of states: 4.32 states/eV/f.u.
- Distance to the lowest polymorph of the same formula: 0.029 eV per atom
- VASP energy: -31.2 eV per cell
- E_form: 0.025 eV/atom

Lattice parameters (Å, degrees): 3.560 3.560 15.150 90.00 90.00 90.00
Space group I4mm (No. 107)
Unique sites:
Sm 0.000 0.000 0.000 [2 per cell]
Y 0.000 0.000 0.670 [2 per cell]
Tm 0.000 0.000 0.335 [2 per cell]

---

6.
A relaxed structure of Sm2YTm, computed with GGA-PBE.

- V: 525.2 Å³/cell
- Fermi-level density of states: 7.89 states/eV/f.u.
- Distance to the lowest polymorph of the same formula: 0.100 eV per atom
- VASP energy: -79.7 eV per cell
- E_form: 0.115 eV/atom

Lattice parameters (Å, degrees): 8.068 8.068 8.068 90.00 90.00 90.00
Space group Fm-3m (No. 225)
Unique sites:
Sm 0.250 0.250 0.250 [8 per cell]
Y 0.000 0.000 0.000 [4 per cell]
Tm 0.000 0.000 0.500 [4 per cell]

---

7.
A relaxed structure of Sm2Y15Tm2, computed with GGA-PBE.

- V: 1928.7 Å³/cell
- Fermi-level density of states: 34.94 states/eV/f.u.
- VASP energy: -328.3 eV per cell
- E_form: 0.312 eV/atom

Lattice parameters (Å, degrees): 11.1603 11.1603 17.8810 90.00 90.00 120.00
Space group R-3m (No. 166, hexagonal axes)
Unique sites:
Sm 0.0000 0.0000 0.0956 [6 per cell]
Y 0.0000 0.3021 0.0000 [18 per cell]
Y 0.0000 0.5000 0.5000 [9 per cell]
Y 0.0159 0.5079 0.1346 [18 per cell]
Tm 0.0000 0.0000 0.3190 [6 per cell]

---

8.
A relaxed structure of Sm4Y4Tm3, computed with GGA-PBE.

- V: 731.7 Å³/cell
- Fermi-level density of states: 19.45 states/eV/f.u.
- Distance to the lowest polymorph of the same formula: 0.068 eV per atom
- VASP energy: -113.6 eV per cell
- E_form: 0.124 eV/atom

Lattice parameters (Å, degrees): 3.603 9.257 21.940 90.00 90.00 90.00
Space group Immm (No. 71)
Unique sites:
Sm 0.000 0.179 0.142 [8 per cell]
Y 0.000 0.318 0.000 [4 per cell]
Y 0.000 0.500 0.242 [4 per cell]
Tm 0.000 0.000 0.391 [4 per cell]
Tm 0.000 0.500 0.500 [2 per cell]